[1]
VASP calculation (PBE) on crystalline SrPrY2Se4 at its relaxed geometry.

symmetry	P2/m
D(E_F)	3.26	states/eV per cell
energy relative to the elements, uncorrected	-1842.5	meV/atom

Structure (extended XYZ):
```
8
Lattice="7.298 0.000 0.000 0.000 4.174 0.000 -2.378 0.000 6.916" Properties=species:S:1:pos:R:3 pbc="T T T"
Sr 0.000 0.000 0.000
Pr 3.649 2.087 0.000
Y -1.189 2.087 3.458
Y 2.460 0.000 3.458
Se 0.042 0.000 5.076
Se 1.237 2.087 1.849
Se 3.682 2.087 5.067
Se 4.878 0.000 1.840
```

***

[2]
VASP calculation (PBE) on crystalline CeGeAs3 at its relaxed geometry.

symmetry	C2/m
D(E_F)	4.07	states/eV per cell
DFT total energy	-5.291	eV/atom

Structure (extended XYZ):
```
10
Lattice="7.726 -2.006 0.000 7.726 2.006 0.000 -0.183 0.000 8.220" Properties=species:S:1:pos:R:3 pbc="T T T"
Ce 3.114 0.000 1.689
Ce 12.155 0.000 6.531
Ge 6.276 0.000 2.416
Ge 8.993 0.000 5.805
As 0.124 0.000 2.872
As 3.096 0.000 4.661
As 5.670 0.000 0.039
As 9.600 0.000 8.181
As 12.174 0.000 3.560
As 15.146 0.000 5.348
```

***

[3]
VASP calculation (PBE) on crystalline Ni2Pt7Rh2 at its relaxed geometry.

symmetry	P-1
distance to the lowest polymorph of the same formula	0.000	eV per atom
D(E_F)	17.85	states/eV per cell

Structure (extended XYZ):
```
11
Lattice="4.705 0.000 0.000 1.119 5.805 0.000 1.436 0.603 6.331" Properties=species:S:1:pos:R:3 pbc="T T T"
Ni 0.750 1.126 2.177
Ni 6.510 5.282 4.154
Pt 2.422 2.765 3.605
Pt 2.584 0.998 5.813
Pt 3.177 3.925 5.838
Pt 3.070 0.301 3.165
Pt 4.082 2.482 0.492
Pt 4.675 5.410 0.518
Pt 4.837 3.642 2.725
Rh 2.453 4.533 1.678
Rh 4.806 1.874 4.653
```

***

[4]
VASP calculation (PBE) on crystalline PrEuZnBi at its relaxed geometry.

symmetry	F-43m
D(E_F)	4.22	states/eV per cell
DFT total energy	-5.529	eV/atom

Structure (extended XYZ):
```
4
Lattice="0.000 3.892 3.892 3.892 0.000 3.892 3.892 3.892 0.000" Properties=species:S:1:pos:R:3 pbc="T T T"
Pr 0.000 0.000 0.000
Eu 3.892 3.892 3.892
Zn 1.946 1.946 1.946
Bi 5.837 5.837 5.837
```

***

| no. | density (g/cm³) | magnetic moment (μB per formula unit) |
| --- | --- | --- |
| 1 | 5.69 | 0.0 |
| 2 | 5.70 | 0.1 |
| 3 | 16.22 | 2.7 |
| 4 | 7.99 | 7.6 |